1.
The following is a PBE calculation of a relaxed Li3PPt crystal, from Alexandria.

POSCAR file:
```
Li3PPt
1.0
4.613 0.000 0.000
0.000 4.613 0.000
0.000 0.000 4.613
Li P Pt
3 1 1
Direct
0.000 0.000 0.500
0.000 0.500 0.000
0.500 0.000 0.000
0.500 0.500 0.500
0.000 0.000 0.000
```

Results
spin magnetization	1.25	μB per cell
uncorrected energy	-16.207	eV/cell
ΔE to the lowest computed polymorph	114	meV per atom

=====

2.
The following is a PBE calculation of a relaxed Li2P2Pt crystal, from Alexandria.

POSCAR file:
```
Li2P2Pt
1.0
-1.925 2.504 4.069
1.925 -2.504 4.069
1.925 2.504 -4.069
Li P Pt
2 2 1
Direct
0.218 0.218 0.000
0.782 0.782 0.000
0.219 0.500 0.719
0.781 0.500 0.281
0.500 0.000 0.500
```

Results
spin magnetization	0.00	μB per cell
uncorrected energy	-23.668	eV/cell
ΔE to the lowest computed polymorph	121	meV per atom

=====

3.
The following is a PBE calculation of a relaxed LiPPt4 crystal, from Alexandria.

POSCAR file:
```
LiPPt4
1.0
0.000 3.721 3.721
3.721 0.000 3.721
3.721 3.721 0.000
Li P Pt
1 1 4
Direct
0.000 0.000 0.000
0.750 0.750 0.750
0.375 0.375 0.375
0.375 0.375 0.875
0.375 0.875 0.375
0.875 0.375 0.375
```

Results
spin magnetization	0.00	μB per cell
uncorrected energy	-30.917	eV/cell
ΔE to the lowest computed polymorph	539	meV per atom

=====

4.
The following is a PBE calculation of a relaxed LiPPt2 crystal, from Alexandria.

POSCAR file:
```
LiPPt2
1.0
1.437 0.830 8.270
-1.437 0.830 8.270
0.000 -1.659 8.270
Li P Pt
1 1 2
Direct
0.000 0.000 0.000
0.500 0.500 0.500
0.244 0.244 0.244
0.756 0.756 0.756
```

Results
spin magnetization	0.00	μB per cell
uncorrected energy	-20.410	eV/cell

=====

5.
The following is a PBE calculation of a relaxed LiP2Pt crystal, from Alexandria.

POSCAR file:
```
LiP2Pt
1.0
0.000 3.051 3.051
3.051 0.000 3.051
3.051 3.051 0.000
Li P Pt
1 2 1
Direct
0.000 0.000 0.000
0.500 0.500 0.500
0.750 0.750 0.750
0.250 0.250 0.250
```

Results
spin magnetization	0.00	μB per cell
uncorrected energy	-18.627	eV/cell
ΔE to the lowest computed polymorph	496	meV per atom

=====

6.
The following is a PBE calculation of a relaxed LiP2Pt crystal, from Alexandria.

POSCAR file:
```
LiP2Pt
1.0
2.538 -3.317 0.000
2.538 3.317 0.000
0.000 0.000 3.345
Li P Pt
1 2 1
Direct
0.000 0.000 0.000
0.000 0.500 0.500
0.500 0.000 0.500
0.500 0.500 0.000
```

Results
spin magnetization	0.00	μB per cell
uncorrected energy	-19.519	eV/cell
ΔE to the lowest computed polymorph	273	meV per atom

=====

Which value of uncorrected energy does entry 6 give?
-19.519 eV/cell

=====

What is the formula in the fifth record?
LiP2Pt

=====

The highest uncorrected energy belongs to which entry?
Li3PPt